No. 1
Computed, not measured: an optimized crystal structure of Cs3KGe2I9 at the PBE-GGA level of DFT.

Cell: 8.5064 8.5064 11.5738 Å, 90.00 90.00 120.00°
Space group P-3m1 (No. 164)
Unique sites:
Cs1 0.0000 0.0000 0.0000 x1
Cs2 0.3333 0.6667 0.7268 x2
K1 0.0000 0.0000 0.5000 x1
Ge1 0.3333 0.6667 0.1587 x2
I1 0.0000 0.5000 0.0000 x3
I2 0.1719 0.3438 0.2936 x6

DOS(E_F), states/eV per cell: 6.45
Total energy, Ry/atom: -0.1990

=====

No. 2
Computed, not measured: an optimized crystal structure of CsLaGe2I8 at the PBE-GGA level of DFT.

Cell: 7.576 8.379 10.939 Å, 69.82 76.80 74.01°
Space group P-1 (No. 2)
Unique sites:
Cs1 0.000 0.000 0.000 x1
La1 0.000 0.000 0.500 x1
Ge1 0.458 0.439 0.213 x2
I1 0.160 0.696 0.757 x2
I2 0.249 0.798 0.308 x2
I3 0.291 0.231 0.461 x2
I4 0.444 0.254 0.049 x2

DOS(E_F), states/eV per cell: 0.00
Total energy, Ry/atom: -0.2315

=====

No. 3
Computed, not measured: an optimized crystal structure of Cs2Li3GeI8 at the PBE-GGA level of DFT.

Cell: 9.0238 9.0238 29.0440 Å, 90.00 90.00 120.00°
Space group R3m (No. 160, hexagonal axes)
Unique sites:
Cs1 0.0000 0.0000 0.0000 x3
Cs2 0.0000 0.0000 0.3462 x3
Li1 0.2090 0.4179 0.8178 x9
Ge1 0.0000 0.0000 0.5698 x3
I1 0.0000 0.0000 0.2185 x3
I2 0.0000 0.0000 0.6611 x3
I3 0.0120 0.5060 0.7649 x9
I4 0.1747 0.3495 0.5509 x9

DOS(E_F), states/eV per cell: 8.85
Total energy, Ry/atom: -0.1982

=====

No. 4
Computed, not measured: an optimized crystal structure of Cs2LiGeI5 at the PBE-GGA level of DFT.

Cell: 4.704 22.491 15.531 Å, 90.00 90.00 90.00°
Space group Cmc2_1 (No. 36)
Unique sites:
Cs1 0.000 0.105 0.000 x4
Cs2 0.000 0.127 0.619 x4
Li1 0.000 0.425 0.770 x4
Ge1 0.000 0.213 0.338 x4
I1 0.000 0.073 0.367 x4
I2 0.000 0.278 0.966 x4
I3 0.000 0.304 0.707 x4
I4 0.000 0.341 0.314 x4
I5 0.000 0.494 0.626 x4

DOS(E_F), states/eV per cell: 0.00
Total energy, Ry/atom: -0.2084

=====

No. 5
Computed, not measured: an optimized crystal structure of Cs4LiGe3I12 at the PBE-GGA level of DFT.

Cell: 11.890 11.890 11.890 Å, 90.00 90.00 90.00°
Space group Im-3m (No. 229)
Unique sites:
Cs1 0.250 0.250 0.250 x8
Li1 0.000 0.000 0.000 x2
Ge1 0.000 0.000 0.500 x6
I1 0.000 0.000 0.253 x12
I2 0.000 0.250 0.500 x12

DOS(E_F), states/eV per cell: 27.90
Total energy, Ry/atom: -0.2025

=====

No. 6
Computed, not measured: an optimized crystal structure of Cs2MnGeI6 at the PBE-GGA level of DFT.

Cell: 11.846 11.846 11.846 Å, 90.00 90.00 90.00°
Space group Fm-3m (No. 225)
Unique sites:
Cs1 0.250 0.250 0.250 x8
Mn1 0.000 0.000 0.000 x4
Ge1 0.000 0.000 0.500 x4
I1 0.000 0.000 0.245 x24

DOS(E_F), states/eV per cell: 0.00
Total energy, Ry/atom: -0.2434

=====

no.,ΔE_f (raw) (kJ/mol of atoms)
1,-88.58
2,-83.48
3,-91.57
4,-102.11
5,-83.53
6,-80.28